1.
# YHoTlNi2

An optimized crystal structure of YHoTlNi2 (GGA-PBE, OQMD).

Lattice parameters (Å, degrees): 3.6693 3.8607 14.4443 90.00 90.00 90.00
Space group Amm2 (No. 38)
Symmetry-distinct sites (fractional):
Y 0.0000 0.0000 0.0000
Ho 0.0000 0.0000 0.7202
Tl 0.5000 0.0000 0.3601
Ni 0.5000 0.0000 0.1595
Ni 0.5000 0.0000 0.5607

Results
total magnetic moment = 0.00 Bohr magnetons per cell
calculated total energy = -5.386 eV per atom


2.
# SmAlIr

An optimized crystal structure of SmAlIr (GGA-PBE, OQMD).

Lattice parameters (Å, degrees): 4.3533 4.3533 7.7392 90.00 90.00 120.00
Space group P6_3/mmc (No. 194)
Symmetry-distinct sites (fractional):
Sm 0.0000 0.0000 0.0000
Al 0.3333 0.6667 0.2500
Ir 0.3333 0.6667 0.7500

Results
total magnetic moment = 0.00 Bohr magnetons per cell
calculated total energy = -6.527 eV per atom


3.
# Ta4Ga3W2C3

An optimized crystal structure of Ta4Ga3W2C3 (GGA-PBE, OQMD).

Lattice parameters (Å, degrees): 9.3691 5.4159 13.7083 90.00 103.26 90.00
Space group C2/c (No. 15)
Symmetry-distinct sites (fractional):
Ta 0.1140 0.0849 0.0921
Ta 0.2201 0.0822 0.4080
Ga 0.0000 0.1091 0.7500
Ga 0.1553 0.4266 0.2505
W 0.0544 0.4177 0.9153
C 0.0847 0.2458 0.5000
C 0.2500 0.2500 0.0000

Results
total magnetic moment = 0.00 Bohr magnetons per cell
calculated total energy = -9.506 eV per atom


4.
# BeNiAs2

An optimized crystal structure of BeNiAs2 (GGA-PBE, OQMD).

Lattice parameters (Å, degrees): 6.1408 6.1408 6.1408 90.00 90.00 90.00
Space group F-43m (No. 216)
Symmetry-distinct sites (fractional):
Be 0.0000 0.0000 0.0000
Ni 0.2500 0.2500 0.2500
As 0.0000 0.0000 0.5000
As 0.2500 0.2500 0.7500

Results
total magnetic moment = 0.00 Bohr magnetons per cell
calculated total energy = -4.173 eV per atom


5.
# KPrBeSe3

An optimized crystal structure of KPrBeSe3 (GGA-PBE, OQMD).

Lattice parameters (Å, degrees): 4.1437 14.7782 11.3745 90.00 90.00 90.00
Space group Cmcm (No. 63)
Symmetry-distinct sites (fractional):
K 0.0000 0.2457 0.2500
Pr 0.0000 0.5000 0.0000
Be 0.0000 0.0386 0.7500
Se 0.0000 0.1248 0.5887
Se 0.0000 0.4423 0.7500

Results
total magnetic moment = 0.01 Bohr magnetons per cell
calculated total energy = -4.709 eV per atom


6.
# BeNiPd

An optimized crystal structure of BeNiPd (GGA-PBE, OQMD).

Lattice parameters (Å, degrees): 5.2604 5.2604 5.2604 90.00 90.00 90.00
Space group F-43m (No. 216)
Symmetry-distinct sites (fractional):
Be 0.0000 0.0000 0.0000
Ni 0.2500 0.2500 0.7500
Pd 0.2500 0.2500 0.2500

Results
total magnetic moment = 0.06 Bohr magnetons per cell
relative energy among the computed polymorphs = 195 meV per atom


What did the third record say?
# Ta4Ga3W2C3

An optimized crystal structure of Ta4Ga3W2C3 (GGA-PBE, OQMD).

Lattice parameters (Å, degrees): 9.3691 5.4159 13.7083 90.00 103.26 90.00
Space group C2/c (No. 15)
Symmetry-distinct sites (fractional):
Ta 0.1140 0.0849 0.0921
Ta 0.2201 0.0822 0.4080
Ga 0.0000 0.1091 0.7500
Ga 0.1553 0.4266 0.2505
W 0.0544 0.4177 0.9153
C 0.0847 0.2458 0.5000
C 0.2500 0.2500 0.0000

Results
total magnetic moment = 0.00 Bohr magnetons per cell
calculated total energy = -9.506 eV per atom